(1)
## Ca4TmTl15 (PBE)

Data for Ca4TmTl15 after structural relaxation.

For the formation energy from the elements, the calculation gives -229 meV/atom.

It has space group P4/mmm (No. 123), with a = 4.8332 Å, b = 4.8332 Å, c = 24.2629 Å, α = 90.00°, β = 90.00° and γ = 90.00°. The inequivalent atoms are Ca at (0.0000, 0.0000, 0.1017), Ca at (0.0000, 0.0000, 0.3049), Tm at (0.0000, 0.0000, 0.5000), Tl at (0.0000, 0.5000, 0.0000), Tl at (0.0000, 0.5000, 0.2025), Tl at (0.0000, 0.5000, 0.4036), Tl at (0.5000, 0.5000, 0.1022), Tl at (0.5000, 0.5000, 0.3019) and Tl at (0.5000, 0.5000, 0.5000).

***

(2)
## CaTm7Tl4 (PBE)

Data for CaTm7Tl4 after structural relaxation.

For the formation energy from the elements, the calculation gives 48 meV/atom.

It has space group C2/m (No. 12), with a = 14.1326 Å, b = 5.6492 Å, c = 10.7865 Å, α = 90.00°, β = 124.38° and γ = 90.00°. The inequivalent atoms are Ca at (0.0000, 0.0000, 0.0000), Tm at (0.0000, 0.5000, 0.0000), Tm at (0.0562, 0.0000, 0.3852), Tm at (0.1942, 0.5000, 0.6229), Tm at (0.2187, 0.0000, 0.8744), Tl at (0.0739, 0.5000, 0.7783) and Tl at (0.1887, 0.5000, 0.3303).

***

(3)
## CaY2TmTl4 (PBE)

Data for CaY2TmTl4 after structural relaxation.

For the formation energy from the elements, the calculation gives -360 meV/atom.

It has space group R-3m (No. 166, hexagonal axes), with a = 5.3855 Å, b = 5.3855 Å, c = 26.4128 Å, α = 90.00°, β = 90.00° and γ = 120.00°. The inequivalent atoms are Ca at (0.0000, 0.0000, 0.0000), Y at (0.0000, 0.0000, 0.2519), Tm at (0.0000, 0.0000, 0.5000), Tl at (0.0000, 0.0000, 0.1269) and Tl at (0.0000, 0.0000, 0.3773).